(1)
# Rb3V2GaF9, optimized geometry, DFT GGA+U
# Theoretical density in g/cm³: 3.9
# D(E_F) in states/eV/cell: 7.99
# Energy in eV per atom: -5.14
# SG: P-3m1
# Crystal system: trigonal
# Magnetic moment in μB per formula unit: 5.0
data_Rb3V2GaF9
_symmetry_space_group_name_H-M 'P 1'
_symmetry_Int_Tables_number 1
_symmetry_space_group_name_Hall 'P 1'
_cell_length_a 6.168
_cell_length_b 6.168
_cell_length_c 7.704
_cell_angle_alpha 90.00
_cell_angle_beta 90.00
_cell_angle_gamma 120.00
loop_
_atom_site_label
_atom_site_type_symbol
_atom_site_fract_x
_atom_site_fract_y
_atom_site_fract_z
Rb1 Rb 0.000 0.000 0.000
Rb2 Rb 0.333 0.667 0.651
Rb3 Rb 0.667 0.333 0.349
V1 V 0.333 0.667 0.147
V2 V 0.667 0.333 0.853
Ga1 Ga 0.000 0.000 0.500
F1 F 0.000 0.500 0.000
F2 F 0.181 0.361 0.299
F3 F 0.181 0.819 0.299
F4 F 0.361 0.181 0.701
F5 F 0.500 0.000 0.000
F6 F 0.500 0.500 0.000
F7 F 0.639 0.819 0.299
F8 F 0.819 0.181 0.701
F9 F 0.819 0.639 0.701


(2)
# Rb4V3GaF12, optimized geometry, DFT GGA+U
# Theoretical density in g/cm³: 4.0
# D(E_F) in states/eV/cell: 21.04
# Energy in eV per atom: -5.22
# SG: Im-3m
# Crystal system: cubic
# Magnetic moment in μB per formula unit: 8.0
data_Rb4V3GaF12
_symmetry_space_group_name_H-M 'P 1'
_symmetry_Int_Tables_number 1
_symmetry_space_group_name_Hall 'P 1'
_cell_length_a 7.560
_cell_length_b 7.560
_cell_length_c 7.560
_cell_angle_alpha 109.47
_cell_angle_beta 109.47
_cell_angle_gamma 109.47
loop_
_atom_site_label
_atom_site_type_symbol
_atom_site_fract_x
_atom_site_fract_y
_atom_site_fract_z
Rb1 Rb 0.000 0.000 0.500
Rb2 Rb 0.000 0.500 0.000
Rb3 Rb 0.500 0.000 0.000
Rb4 Rb 0.500 0.500 0.500
V1 V 0.000 0.500 0.500
V2 V 0.500 0.000 0.500
V3 V 0.500 0.500 0.000
Ga1 Ga 0.000 0.000 0.000
F1 F 0.000 0.274 0.274
F2 F 0.000 0.726 0.726
F3 F 0.250 0.500 0.750
F4 F 0.250 0.750 0.500
F5 F 0.274 0.000 0.274
F6 F 0.274 0.274 0.000
F7 F 0.500 0.250 0.750
F8 F 0.500 0.750 0.250
F9 F 0.726 0.000 0.726
F10 F 0.726 0.726 0.000
F11 F 0.750 0.250 0.500
F12 F 0.750 0.500 0.250